Record 1
# TaSiHg2H

A geometry-optimized TaSiHg2H structure (PBE, Alexandria via LeMat-Bulk).

Values from the calculation:
E = -3.05 eV per atom
DOS at the Fermi energy = 4.21 states/eV/cell
Total magnetic moment = 0.179 μB per atom

Cell lengths 5.581, 5.581, 4.864 Å; angles 90.00, 90.00, 90.00 degrees
Atoms (fractional coordinates):
Ta  0.000  0.000  0.000
Si  0.000  0.000  0.500
Hg  0.000  0.500  0.000
Hg  0.500  0.000  0.000
H  0.500  0.500  0.500

---

Record 2
# SmHgH

A geometry-optimized SmHgH structure (PBE, Alexandria via LeMat-Bulk).

Values from the calculation:
E = -3.32 eV per atom
Relative energy among the computed polymorphs = 0 meV/atom
DOS at the Fermi energy = 1.98 states/eV/cell
Total magnetic moment = 0.000 μB per atom

Cell lengths 3.908, 3.908, 7.473 Å; angles 90.00, 90.00, 90.00 degrees
Atoms (fractional coordinates):
Sm  0.250  0.250  0.168
Sm  0.750  0.750  0.832
Hg  0.250  0.250  0.609
Hg  0.750  0.750  0.391
H  0.250  0.750  0.000
H  0.750  0.250  0.000

---

Record 3
# Sm3Hg5H12

A geometry-optimized Sm3Hg5H12 structure (PBE, Alexandria via LeMat-Bulk).

Values from the calculation:
E = -2.79 eV per atom
DOS at the Fermi energy = 13.97 states/eV/cell
Total magnetic moment = 0.000 μB per atom

Cell lengths 11.275, 11.275, 11.275 Å; angles 109.47, 109.47, 109.47 degrees
Atoms (fractional coordinates):
Sm  0.125  0.250  0.375
Sm  0.125  0.375  0.750
Sm  0.250  0.375  0.125
Sm  0.250  0.875  0.625
Sm  0.375  0.125  0.250
Sm  0.375  0.750  0.125
Sm  0.625  0.250  0.875
Sm  0.625  0.875  0.750
Sm  0.750  0.125  0.375
Sm  0.750  0.625  0.875
Sm  0.875  0.625  0.250
Sm  0.875  0.750  0.625
Hg  0.000  0.000  0.000
Hg  0.000  0.000  0.500
Hg  0.000  0.500  0.000
Hg  0.000  0.500  0.500
Hg  0.125  0.750  0.875
Hg  0.125  0.875  0.250
Hg  0.250  0.125  0.875
Hg  0.250  0.625  0.375
Hg  0.375  0.250  0.625
Hg  0.375  0.625  0.750
Hg  0.500  0.000  0.000
Hg  0.500  0.000  0.500
Hg  0.500  0.500  0.000
Hg  0.500  0.500  0.500
Hg  0.625  0.375  0.250
Hg  0.625  0.750  0.375
Hg  0.750  0.375  0.625
Hg  0.750  0.875  0.125
Hg  0.875  0.125  0.750
Hg  0.875  0.250  0.125
H  0.055  0.255  0.156
H  0.055  0.300  0.899
H  0.099  0.755  0.700
H  0.099  0.844  0.399
H  0.101  0.656  0.401
H  0.101  0.945  0.700
H  0.156  0.055  0.255
H  0.156  0.601  0.901
H  0.200  0.255  0.599
H  0.200  0.445  0.601
H  0.245  0.300  0.901
H  0.245  0.445  0.344
H  0.255  0.156  0.055
H  0.255  0.599  0.200
H  0.300  0.899  0.055
H  0.300  0.901  0.245
H  0.344  0.245  0.445
H  0.344  0.599  0.899
H  0.399  0.099  0.844
H  0.399  0.800  0.555
H  0.401  0.101  0.656
H  0.401  0.800  0.745
H  0.445  0.344  0.245
H  0.445  0.601  0.200
H  0.555  0.399  0.800
H  0.555  0.656  0.755
H  0.599  0.200  0.255
H  0.599  0.899  0.344
H  0.601  0.200  0.445
H  0.601  0.901  0.156
H  0.656  0.401  0.101
H  0.656  0.755  0.555
H  0.700  0.099  0.755
H  0.700  0.101  0.945
H  0.745  0.401  0.800
H  0.745  0.844  0.945
H  0.755  0.555  0.656
H  0.755  0.700  0.099
H  0.800  0.555  0.399
H  0.800  0.745  0.401
H  0.844  0.399  0.099
H  0.844  0.945  0.745
H  0.899  0.055  0.300
H  0.899  0.344  0.599
H  0.901  0.156  0.601
H  0.901  0.245  0.300
H  0.945  0.700  0.101
H  0.945  0.745  0.844